SrPr2Hf | GGA-PBE | optimized geometry Values from VASP.

Output
ΔH_f (0 K) = 548 meV/atom
M_tot = 0.0 Bohr magnetons per cell
Theoretical density = 6.7 g/cm3
Density of states at the Fermi level = 4.77 states/eV/cell

Structure (Quantum ESPRESSO input):
```
&SYSTEM
  ibrav = 0, nat = 4, ntyp = 3
/
ATOMIC_SPECIES
Sr 87.62 Sr.upf
Hf 178.49 Hf.upf
Pr 140.91 Pr.upf
CELL_PARAMETERS angstrom
-2.638 1.598 1.590
-2.797 0.957 -1.817
-7.313 -10.637 2.344
ATOMIC_POSITIONS crystal
Sr 0.500 0.500 0.500
Hf 0.000 0.000 0.000
Pr 0.921 0.921 0.238
Pr 0.079 0.079 0.762
```